Tb2PmNd4Dy | PBE | relaxed

Calculated density in g cm⁻³: 7.4
DFT formation energy in eV/f.u.: 0.12

Unit cell a=6.2856 b=3.6417 c=11.9944 alpha=90.00 beta=100.25 gamma=90.00
Space group P2/m (No. 10)
Unique sites:
Tb1 0.0000 0.0000 0.0000 x1
Tb2 0.0000 0.5000 0.5000 x1
Pm1 0.5000 0.0000 0.5000 x1
Nd1 0.2488 0.5000 0.2481 x2
Nd2 0.2505 0.0000 0.7512 x2
Dy1 0.5000 0.5000 0.0000 x1



K3AcHo2Se6 | PBE | relaxed

Energy relative to the elements, uncorrected in eV/atom: -1.77
Calculated density in g cm⁻³: 5.1

Unit cell a=7.4934 b=12.9855 c=8.1085 alpha=90.00 beta=108.03 gamma=90.00
Space group C2/m (No. 12)
Unique sites:
K1 0.0000 0.0000 0.0000 x2
K2 0.0000 0.3358 0.0000 x4
Ac1 0.0000 0.5000 0.5000 x2
Ho1 0.0000 0.1670 0.5000 x4
Se1 0.2163 0.0000 0.7080 x4
Se2 0.2462 0.3234 0.7080 x8



AlRe2W | PBE | relaxed

Calculated density in g cm⁻³: 15.9
DFT formation energy in eV/f.u.: 0.18

Unit cell a=3.0524 b=4.5387 c=8.7732 alpha=90.00 beta=90.00 gamma=90.00
Space group Cmmm (No. 65)
Unique sites:
Al1 0.0000 0.0000 0.0000 x2
Re1 0.0000 0.5000 0.2461 x4
W1 0.0000 0.0000 0.5000 x2



PuSc4Sb5 | PBE | relaxed

Energy relative to the elements, uncorrected in eV/atom: -0.85
Calculated density in g cm⁻³: 6.5

Unit cell a=4.2085 b=5.9841 c=21.0777 alpha=90.00 beta=90.00 gamma=90.00
Space group Immm (No. 71)
Unique sites:
Pu1 0.0000 0.0000 0.0000 x2
Sc1 0.0000 0.0000 0.2041 x4
Sc2 0.0000 0.0000 0.3991 x4
Sb1 0.0000 0.5000 0.0000 x2
Sb2 0.0000 0.5000 0.1990 x4
Sb3 0.0000 0.5000 0.3937 x4



Sc3TcW | PBE | relaxed

Calculated density in g cm⁻³: 5.6
DFT formation energy in eV/f.u.: 5.77
Relative energy among the computed polymorphs in meV/atom: 255

Unit cell a=4.9799 b=4.9799 c=4.9799 alpha=90.00 beta=90.00 gamma=90.00
Space group Pm-3m (No. 221)
Unique sites:
Sc1 0.0000 0.0000 0.5000 x3
Tc1 0.5000 0.5000 0.5000 x1
W1 0.0000 0.0000 0.0000 x1



LuBi2Pb | PBE | relaxed

Calculated density in g cm⁻³: 11.1
DFT formation energy in eV/f.u.: -1.05
Relative energy among the computed polymorphs in meV/atom: 0

Unit cell a=4.1918 b=4.1918 c=6.8194 alpha=90.00 beta=90.00 gamma=90.00
Space group P4/mmm (No. 123)
Unique sites:
Lu1 0.0000 0.0000 0.0000 x1
Bi1 0.5000 0.5000 0.2319 x2
Pb1 0.0000 0.0000 0.5000 x1



Pm3Ho5Er4 | PBE | relaxed

Calculated density in g cm⁻³: 8.3
DFT formation energy in eV/f.u.: 2.91
Relative energy among the computed polymorphs in meV/atom: 223

Unit cell a=15.9223 b=5.8776 c=9.2275 alpha=90.00 beta=116.13 gamma=90.00
Space group C2/m (No. 12)
Unique sites:
Pm1 0.0000 0.0000 0.0000 x2
Pm2 0.2081 0.5000 0.2300 x4
Ho1 0.0000 0.5000 0.0000 x2
Ho2 0.0738 0.0000 0.6969 x4
Ho3 0.1728 0.0000 0.3882 x4
Er1 0.0812 0.5000 0.4409 x4
Er2 0.2093 0.5000 0.8764 x4



Er13Ru2 | PBE | relaxed

Calculated density in g cm⁻³: 9.0
DFT formation energy in eV/f.u.: -1.64

Unit cell a=6.2921 b=8.0480 c=9.6056 alpha=65.31 beta=89.11 gamma=82.61
Space group P-1 (No. 2)
Unique sites:
Er1 0.0000 0.0000 0.0000 x1
Er2 0.0547 0.5169 0.3155 x2
Er3 0.1752 0.0629 0.6101 x2
Er4 0.2221 0.6204 0.9338 x2
Er5 0.3112 0.1670 0.2244 x2
Er6 0.4129 0.6714 0.5592 x2
Er7 0.4453 0.2290 0.8536 x2
Ru1 0.1968 0.8324 0.2853 x2



The following total DFT energy (no corrections) values (in eV per cell) correspond, in order, to the records above: -37.57 -117.32 -82.82 -137.59 -36.54 -17.04 -104.97 -79.51.
The following DOS(E_F) values (in states/eV/f.u.) correspond, in order, to the records above: 11.22 0.00 3.08 15.90 7.42 3.02 19.19 20.63.
The following M_tot values (in μB per formula unit) correspond, in order, to the records above: 0.00 0.00 0.00 5.13 2.68 0.00 0.21 0.00.